NdThOs PBE-GGA optimized geometry; SG = No. 11; M_tot = 0.000 μB/f.u.; energy above the most stable polymorph in this dataset = 0 meV/atom; energy of formation = -0.194 eV per atom
1.0
4.562 0.000 0.000
0.000 5.078 -2.000
0.000 -0.597 7.831
Nd Th Os
2 2 2
Direct
0.750 0.197 0.437 Nd
0.250 0.803 0.563 Nd
0.750 0.709 0.944 Th
0.250 0.291 0.056 Th
0.750 0.108 0.799 Os
0.250 0.892 0.201 Os